The following is a DFT calculation (PBE) of a geometry-optimized BeVNi5 structure.

E_form = -0.19 eV/atom
raw total energy = -6.1553 eV per atom
crystal system = tetragonal

Cell lengths 3.557, 3.557, 6.047 Å; angles 90.00, 90.00, 90.00 degrees
Fractional coordinates of all 7 atoms:
Be 0.500 0.500 0.000
V 0.000 0.000 0.500
Ni 0.000 0.500 0.788
Ni 0.000 0.500 0.212
Ni 0.500 0.000 0.788
Ni 0.500 0.000 0.212
Ni 0.500 0.500 0.500



The following is a DFT calculation (PBE) of a geometry-optimized Pu2TiGaN5 structure.

formation energy (no corrections) = -948 meV/atom
raw total energy = -9.9713 eV per atom
crystal system = orthorhombic

Cell lengths 3.234, 6.862, 9.864 Å; angles 90.00, 90.00, 103.63 degrees
Last column: magnetic moment on the atom in μB.
Fractional coordinates of all 18 atoms:
Pu 0.867 0.735 0.786  4.27
Pu 0.123 0.245 0.697  4.34
Pu 0.133 0.265 0.286  4.27
Pu 0.877 0.755 0.197  4.34
Ti 0.785 0.570 0.500  0.19
Ti 0.215 0.430 0.000  0.19
Ga 0.516 0.031 0.978  -0.01
Ga 0.484 0.969 0.478  -0.01
N 0.362 0.725 0.011  -0.14
N 0.700 0.399 0.864  -0.17
N 0.497 0.994 0.780  -0.23
N 0.286 0.573 0.651  -0.23
N 0.939 0.877 0.556  -0.10
N 0.638 0.275 0.511  -0.14
N 0.300 0.601 0.364  -0.17
N 0.503 0.006 0.280  -0.23
N 0.714 0.427 0.151  -0.23
N 0.061 0.123 0.056  -0.10



The following is a DFT calculation (PBE) of a geometry-optimized H2IrRh structure.

raw total energy = -5.4961 eV per atom
crystal system = tetragonal

Cell lengths 4.182, 4.182, 5.093 Å; angles 65.76, 65.76, 90.00 degrees
Last column: magnetic moment on the atom in μB.
Fractional coordinates of all 8 atoms:
H 0.624 0.125 0.250  0.00
H 0.126 0.625 0.250  0.00
H 0.375 0.376 0.750  0.00
H 0.875 0.874 0.750  0.00
Ir 0.000 0.000 0.000  0.42
Ir 0.750 0.250 0.500  0.42
Rh 0.500 0.500 0.000  0.38
Rh 0.250 0.750 0.500  0.38



The following is a DFT calculation (PBE) of a geometry-optimized Sm2Ge3Pt9 structure.

E_form = -0.77 eV/atom
raw total energy = -6.3184 eV per atom
crystal system = monoclinic

Cell lengths 7.867, 7.867, 10.142 Å; angles 90.58, 112.33, 119.81 degrees
Fractional coordinates of all 28 atoms:
Sm 0.334 0.245 0.749
Sm 0.666 0.755 0.251
Sm 0.995 0.585 0.751
Sm 0.005 0.415 0.249
Ge 0.500 0.000 0.000
Ge 0.500 0.500 0.500
Ge 0.866 0.183 0.503
Ge 0.134 0.817 0.497
Ge 0.180 0.363 0.997
Ge 0.820 0.637 0.003
Pt 0.447 0.915 0.740
Pt 0.553 0.085 0.260
Pt 0.675 0.707 0.760
Pt 0.325 0.293 0.240
Pt 0.444 0.642 0.922
Pt 0.556 0.358 0.078
Pt 0.221 0.522 0.578
Pt 0.779 0.478 0.422
Pt 0.883 0.133 0.750
Pt 0.117 0.867 0.250
Pt 0.128 0.982 0.930
Pt 0.872 0.018 0.070
Pt 0.552 0.198 0.570
Pt 0.448 0.802 0.430
Pt 0.882 0.859 0.579
Pt 0.118 0.141 0.421
Pt 0.780 0.303 0.921
Pt 0.220 0.697 0.079



The following is a DFT calculation (PBE) of a geometry-optimized Li2BiRhN structure.

formation energy (no corrections) = -241 meV/atom
raw total energy = -4.9182 eV per atom
crystal system = tetragonal

Cell lengths 4.352, 4.352, 3.894 Å; angles 90.00, 90.00, 90.00 degrees
Fractional coordinates of all 5 atoms:
Li 0.000 0.500 0.000
Li 0.500 0.000 0.000
Rh 0.000 0.000 0.500
Bi 0.500 0.500 0.500
N 0.000 0.000 0.000



The following is a DFT calculation (PBE) of a geometry-optimized Hf4Al2Au structure.

E_form = 0.62 eV/atom
raw total energy = -6.6101 eV per atom
crystal system = tetragonal

Cell lengths 4.963, 4.963, 8.019 Å; angles 71.98, 71.98, 90.00 degrees
Fractional coordinates of all 7 atoms:
Hf 0.187 0.187 0.626
Hf 0.813 0.813 0.374
Hf 0.000 0.500 0.000
Hf 0.500 0.000 0.000
Au 0.000 0.000 0.000
Al 0.378 0.378 0.243
Al 0.622 0.622 0.757



Number 1: calculated volume 76.5 Å³ per cell, size of the total moment 0.00 μB/f.u.. Number 2: calculated volume 212.7 Å³ per cell, size of the total moment 7.94 μB/f.u.. Number 3: calculated volume 72.5 Å³ per cell, size of the total moment 0.79 μB/f.u.. Number 4: calculated volume 488.0 Å³ per cell, size of the total moment 0.00 μB/f.u.. Number 5: calculated volume 73.8 Å³ per cell, size of the total moment 0.00 μB/f.u.. Number 6: calculated volume 177.6 Å³ per cell, size of the total moment 0.00 μB/f.u..